# 1
# Ac6Ru2RhAu, optimized geometry, DFT PBE-GGA
data_Ac6Ru2RhAu
_symmetry_space_group_name_H-M 'P 1'
_symmetry_Int_Tables_number 1
_symmetry_space_group_name_Hall 'P 1'
_cell_length_a 7.5275
_cell_length_b 7.5402
_cell_length_c 8.1658
_cell_angle_alpha 90.09
_cell_angle_beta 117.42
_cell_angle_gamma 119.91
loop_
_atom_site_label
_atom_site_type_symbol
_atom_site_fract_x
_atom_site_fract_y
_atom_site_fract_z
Ac1 Ac 0.0000 0.0000 0.0000
Ac2 Ac 0.0001 0.1954 0.5135
Ac3 Ac 0.3234 0.6745 0.9993
Ac4 Ac 0.3604 0.8396 0.5134
Ac5 Ac 0.6440 0.4785 0.5138
Ac6 Ac 0.6494 0.3243 0.9995
Ru1 Ru 0.4941 0.0842 0.2538
Ru2 Ru 0.4986 0.5865 0.7599
Rh1 Rh 0.8342 0.2538 0.7634
Au1 Au 0.8377 0.7559 0.2699
# **Calculated volume**: 340.1 Å³/cell
# **ΔH_f (0 K)**: -0.38 eV/atom

---

# 2
# Ac6Rh2Au3S, optimized geometry, DFT PBE-GGA
data_Ac6Rh2Au3S
_symmetry_space_group_name_H-M 'C 1 2/m 1'
_symmetry_Int_Tables_number 12
_symmetry_space_group_name_Hall '-C 2y'
_cell_length_a 7.6799
_cell_length_b 13.2912
_cell_length_c 7.7745
_cell_angle_alpha 90.00
_cell_angle_beta 108.94
_cell_angle_gamma 90.00
loop_
_atom_site_label
_atom_site_type_symbol
_atom_site_fract_x
_atom_site_fract_y
_atom_site_fract_z
Ac1 Ac 0.2306 0.0000 0.2240
Ac2 Ac 0.2499 0.1728 0.7686
Rh1 Rh 0.0000 0.1668 0.0000
Au1 Au 0.0000 0.0000 0.5000
Au2 Au 0.0000 0.3402 0.5000
S1 S 0.0000 0.5000 0.0000
# **Raw formation energy**: -0.960 eV per atom
# **Calculated volume**: 750.6 Å³/cell

---

# 3
# Ac2Sb3Rh6Au, optimized geometry, DFT PBE-GGA
data_Ac2Sb3Rh6Au
_symmetry_space_group_name_H-M 'P 4/m m m'
_symmetry_Int_Tables_number 123
_symmetry_space_group_name_Hall '-P 4 2'
_cell_length_a 4.1829
_cell_length_b 4.1829
_cell_length_c 16.5400
_cell_angle_alpha 90.00
_cell_angle_beta 90.00
_cell_angle_gamma 90.00
loop_
_atom_site_label
_atom_site_type_symbol
_atom_site_fract_x
_atom_site_fract_y
_atom_site_fract_z
Ac1 Ac 0.0000 0.0000 0.1732
Sb1 Sb 0.5000 0.5000 0.0000
Sb2 Sb 0.5000 0.5000 0.3091
Rh1 Rh 0.0000 0.5000 0.3981
Rh2 Rh 0.5000 0.5000 0.1528
Au1 Au 0.0000 0.0000 0.5000
# **Raw formation energy**: -0.322 eV per atom
# **Calculated volume**: 289.4 Å³/cell

---

# 4
# Ac2Sb3Rh4Au, optimized geometry, DFT PBE-GGA
data_Ac2Sb3Rh4Au
_symmetry_space_group_name_H-M 'P -4 m 2'
_symmetry_Int_Tables_number 115
_symmetry_space_group_name_Hall 'P -4 -2'
_cell_length_a 4.5317
_cell_length_b 4.5317
_cell_length_c 10.9661
_cell_angle_alpha 90.00
_cell_angle_beta 90.00
_cell_angle_gamma 90.00
loop_
_atom_site_label
_atom_site_type_symbol
_atom_site_fract_x
_atom_site_fract_y
_atom_site_fract_z
Ac1 Ac 0.0000 0.5000 0.2401
Sb1 Sb 0.0000 0.0000 0.0000
Sb2 Sb 0.0000 0.5000 0.6279
Rh1 Rh 0.0000 0.0000 0.5000
Rh2 Rh 0.0000 0.5000 0.8626
Rh3 Rh 0.5000 0.5000 0.5000
Au1 Au 0.5000 0.5000 0.0000
# **Raw formation energy**: -0.760 eV per atom
# **Calculated volume**: 225.2 Å³/cell